Entry from the Alexandria database: an optimized crystal structure of BaAgW (PBE-GGA).

The calculation puts the mass density at 10.3 g/cm³. For the density of states at the Fermi level, the calculation gives 4.0 states/eV per cell. The value obtained for the total magnetization is 0.00 μB per cell. The excess energy over the best structure of this formula in the dataset comes out at 206 meV per atom. Its formation energy is 1.23 eV/atom. As for the energy: -4.684 eV per atom.

a b c (Å): 3.0988 3.0988 8.3117
angles (deg): 90.00 90.00 120.00
Closest atoms and distances in Å follow each position.
Positions (direct):
Ba1 0.0000 0.0000 0.0000  6 Ba 3.10, 3 W 3.45
Ag1 0.6667 0.3333 0.6285  3 W 2.89, 6 Ag 3.10
W1 0.3333 0.6667 0.3552  3 Ag 2.89, 6 W 3.10